--- a ---
Density functional theory data (PBE-GGA) for an optimized crystal structure of NaRe3Pt.

Output
Mass density   11.435 Mg/m³
Space group   No. 221

a = 4.8316 Å, b = 4.8316 Å, c = 4.8316 Å
α = 90.00°, β = 90.00°, γ = 90.00°
Each line ends with the local moment (μB).
Fractional positions:
Re (0.0000, 0.5000, 0.0000)  0.61
Re (0.0000, 0.0000, 0.5000)  0.51
Re (0.5000, 0.0000, 0.0000)  0.61
Pt (0.0000, 0.0000, 0.0000)  -0.01
Na (0.5000, 0.5000, 0.5000)  -0.01

***

--- b ---
Density functional theory data (PBE-GGA) for an optimized crystal structure of NaRe3Pt.

Output
Mass density   15.248 Mg/m³
Space group   No. 221

a = 4.3896 Å, b = 4.3896 Å, c = 4.3896 Å
α = 90.00°, β = 90.00°, γ = 90.00°
Each line ends with the local moment (μB).
Fractional positions:
Pt (0.5000, 0.5000, 0.5000)  -0.07
Re (0.0000, 0.0000, 0.5000)  0.38
Re (0.0000, 0.5000, 0.0000)  0.49
Re (0.5000, 0.0000, 0.0000)  0.51
Na (0.0000, 0.0000, 0.0000)  0.07

***

a is the most stable structure; the next one sits 601 meV/atom above it.